1.
# MgI2NF | the Alexandria database | meta-GGA SCAN | single point on PBEsol structure
data_MgI2NF
_chemical_formula_sum 'Mg1 I2 N1 F1'
_symmetry_space_group_name_H-M 'P 4/m m m'
_symmetry_Int_Tables_number 123
_symmetry_space_group_name_Hall '-P 4 2'
_cell_length_a 6.391
_cell_length_b 6.391
_cell_length_c 3.512
_cell_angle_alpha 90.00
_cell_angle_beta 90.00
_cell_angle_gamma 90.00
loop_
_atom_site_label
_atom_site_type_symbol
_atom_site_fract_x
_atom_site_fract_y
_atom_site_fract_z
_atom_site_occupancy
Mg1 Mg 0.000 0.000 0.000 1
I1 I 0.000 0.500 0.500 1
N1 N 0.500 0.500 0.000 1
F1 F 0.000 0.000 0.500 1
# D(E_F)   0.1689 states/eV per atom
# Calculated total energy   -92.1 eV per formula unit
# Formation energy from raw total energies   -160 meV per atom
# Excess energy over the best structure of this formula in the dataset   0 meV/atom


2.
# Cu4AgAu | the Alexandria database | meta-GGA SCAN | single point on PBEsol structure
data_Cu4AgAu
_chemical_formula_sum 'Cu16 Ag4 Au4'
_symmetry_space_group_name_H-M 'F -4 3 m'
_symmetry_Int_Tables_number 216
_symmetry_space_group_name_Hall 'F -4 2 3'
_cell_length_a 6.813
_cell_length_b 6.813
_cell_length_c 6.813
_cell_angle_alpha 90.00
_cell_angle_beta 90.00
_cell_angle_gamma 90.00
loop_
_atom_site_label
_atom_site_type_symbol
_atom_site_fract_x
_atom_site_fract_y
_atom_site_fract_z
_atom_site_occupancy
Cu1 Cu 0.125 0.125 0.125 1
Ag1 Ag 0.250 0.250 0.750 1
Au1 Au 0.000 0.000 0.500 1
# D(E_F)   0.3312 states/eV per atom
# Energy of formation   0.03 eV per atom
# Calculated total energy   -161.2 eV per formula unit


3.
# Li2TeMo | the Alexandria database | meta-GGA SCAN | single point on PBEsol structure
data_Li2TeMo
_chemical_formula_sum 'Li2 Te1 Mo1'
_symmetry_space_group_name_H-M 'P 4/m m m'
_symmetry_Int_Tables_number 123
_symmetry_space_group_name_Hall '-P 4 2'
_cell_length_a 2.849
_cell_length_b 2.849
_cell_length_c 9.121
_cell_angle_alpha 90.00
_cell_angle_beta 90.00
_cell_angle_gamma 90.00
loop_
_atom_site_label
_atom_site_type_symbol
_atom_site_fract_x
_atom_site_fract_y
_atom_site_fract_z
_atom_site_occupancy
Li1 Li 0.000 0.000 0.234 1
Te1 Te 0.500 0.500 0.500 1
Mo1 Mo 0.500 0.500 0.000 1
# D(E_F)   0.4260 states/eV per atom
# Calculated total energy   -75.7 eV per formula unit
# Formation energy from raw total energies   315 meV per atom


4.
# MgOsRh2 | the Alexandria database | meta-GGA SCAN | single point on PBEsol structure
data_MgOsRh2
_chemical_formula_sum 'Mg3 Os3 Rh6'
_symmetry_space_group_name_H-M 'R -3 m'
_symmetry_Int_Tables_number 166
_symmetry_space_group_name_Hall '-R 3 2"'
_cell_length_a 2.7391
_cell_length_b 2.7391
_cell_length_c 26.3285
_cell_angle_alpha 90.00
_cell_angle_beta 90.00
_cell_angle_gamma 120.00
loop_
_atom_site_label
_atom_site_type_symbol
_atom_site_fract_x
_atom_site_fract_y
_atom_site_fract_z
_atom_site_occupancy
Mg1 Mg 0.0000 0.0000 0.0000 1
Os1 Os 0.0000 0.0000 0.5000 1
Rh1 Rh 0.0000 0.0000 0.2480 1
# D(E_F)   1.0997 states/eV per atom
# Energy of formation   -0.05 eV per atom
# Calculated total energy   -144.6 eV per formula unit